Density functional theory data (PBE) for an optimized crystal structure of GdYMnIr.

a = 6.9981 Å, b = 6.9981 Å, c = 6.9981 Å
α = 90.00°, β = 90.00°, γ = 90.00°
Space group F-43m (No. 216)
Symmetry-distinct sites (fractional):
Gd 0.0000 0.0000 0.0000 [4 per cell]
Y 0.0000 0.0000 0.5000 [4 per cell]
Mn 0.2500 0.2500 0.7500 [4 per cell]
Ir 0.2500 0.2500 0.2500 [4 per cell]

total energy	-9.890	eV per atom

***

Density functional theory data (PBE) for an optimized crystal structure of GdZrMnIr.

a = 6.7429 Å, b = 6.7429 Å, c = 6.7429 Å
α = 90.00°, β = 90.00°, γ = 90.00°
Space group F-43m (No. 216)
Symmetry-distinct sites (fractional):
Gd 0.0000 0.0000 0.0000 [4 per cell]
Zr 0.0000 0.0000 0.5000 [4 per cell]
Mn 0.2500 0.2500 0.7500 [4 per cell]
Ir 0.2500 0.2500 0.2500 [4 per cell]

total energy	-10.443	eV per atom

***

Density functional theory data (PBE) for an optimized crystal structure of Gd3IrN.

a = 4.7414 Å, b = 4.7414 Å, c = 4.7414 Å
α = 90.00°, β = 90.00°, γ = 90.00°
Space group Pm-3m (No. 221)
Symmetry-distinct sites (fractional):
Gd 0.0000 0.0000 0.5000 [3 per cell]
Ir 0.5000 0.5000 0.5000 [1 per cell]
N 0.0000 0.0000 0.0000 [1 per cell]

raw formation energy	-800.9	meV/atom

***

Density functional theory data (PBE) for an optimized crystal structure of NaGdSnIr.

a = 6.9051 Å, b = 6.9051 Å, c = 6.9051 Å
α = 90.00°, β = 90.00°, γ = 90.00°
Space group F-43m (No. 216)
Symmetry-distinct sites (fractional):
Na 0.0000 0.0000 0.0000 [4 per cell]
Gd 0.2500 0.2500 0.7500 [4 per cell]
Sn 0.2500 0.2500 0.2500 [4 per cell]
Ir 0.0000 0.0000 0.5000 [4 per cell]

total energy	-7.463	eV per atom

***

Density functional theory data (PBE) for an optimized crystal structure of GdNbIrRu.

a = 6.6177 Å, b = 6.6177 Å, c = 6.6177 Å
α = 90.00°, β = 90.00°, γ = 90.00°
Space group F-43m (No. 216)
Symmetry-distinct sites (fractional):
Gd 0.0000 0.0000 0.0000 [4 per cell]
Nb 0.0000 0.0000 0.5000 [4 per cell]
Ir 0.2500 0.2500 0.7500 [4 per cell]
Ru 0.2500 0.2500 0.2500 [4 per cell]

total energy	-10.851	eV per atom

***

Density functional theory data (PBE) for an optimized crystal structure of NdGdIr.

a = 4.1770 Å, b = 4.1770 Å, c = 6.3250 Å
α = 90.00°, β = 90.00°, γ = 120.00°
Space group P3m1 (No. 156)
Symmetry-distinct sites (fractional):
Nd 0.0000 0.0000 0.0000 [1 per cell]
Gd 0.3333 0.6667 0.5404 [1 per cell]
Ir 0.6667 0.3333 0.7620 [1 per cell]

offset from the most stable computed form	0.071	eV per atom

***

Density functional theory data (PBE) for an optimized crystal structure of NdGdIr.

a = 6.9283 Å, b = 6.9283 Å, c = 6.9283 Å
α = 90.00°, β = 90.00°, γ = 90.00°
Space group F-43m (No. 216)
Symmetry-distinct sites (fractional):
Nd 0.0000 0.0000 0.0000 [4 per cell]
Gd 0.0000 0.0000 0.5000 [4 per cell]
Ir 0.2500 0.2500 0.2500 [4 per cell]

offset from the most stable computed form	0.000	eV per atom

***

Density functional theory data (PBE) for an optimized crystal structure of NdGdIr.

a = 3.5497 Å, b = 3.5497 Å, c = 13.1045 Å
α = 90.00°, β = 90.00°, γ = 90.00°
Space group I4mm (No. 107)
Symmetry-distinct sites (fractional):
Nd 0.0000 0.0000 0.0000 [2 per cell]
Gd 0.0000 0.0000 0.2506 [2 per cell]
Ir 0.0000 0.0000 0.6302 [2 per cell]

offset from the most stable computed form	0.115	eV per atom

***

Density functional theory data (PBE) for an optimized crystal structure of Nd2GdIr.

a = 3.9090 Å, b = 3.9090 Å, c = 31.9180 Å
α = 90.00°, β = 90.00°, γ = 120.00°
Space group R-3m (No. 166, hexagonal axes)
Symmetry-distinct sites (fractional):
Nd 0.0000 0.0000 0.1138 [6 per cell]
Gd 0.0000 0.0000 0.0000 [3 per cell]
Ir 0.0000 0.0000 0.5000 [3 per cell]

total energy	-8.188	eV per atom

***

Density functional theory data (PBE) for an optimized crystal structure of NdGdIr4.

a = 7.6532 Å, b = 7.6532 Å, c = 7.6532 Å
α = 90.00°, β = 90.00°, γ = 90.00°
Space group F-43m (No. 216)
Symmetry-distinct sites (fractional):
Nd 0.0000 0.0000 0.0000 [4 per cell]
Gd 0.2500 0.2500 0.2500 [4 per cell]
Ir 0.1249 0.1249 0.6249 [16 per cell]

total energy	-9.785	eV per atom

***

Density functional theory data (PBE) for an optimized crystal structure of NdGdNiIr.

a = 6.9702 Å, b = 6.9702 Å, c = 6.9702 Å
α = 90.00°, β = 90.00°, γ = 90.00°
Space group F-43m (No. 216)
Symmetry-distinct sites (fractional):
Nd 0.0000 0.0000 0.0000 [4 per cell]
Gd 0.0000 0.0000 0.5000 [4 per cell]
Ni 0.2500 0.2500 0.7500 [4 per cell]
Ir 0.2500 0.2500 0.2500 [4 per cell]

total energy	-8.871	eV per atom

***

Density functional theory data (PBE) for an optimized crystal structure of NdGdIrPb.

a = 7.4181 Å, b = 7.4181 Å, c = 7.4181 Å
α = 90.00°, β = 90.00°, γ = 90.00°
Space group F-43m (No. 216)
Symmetry-distinct sites (fractional):
Nd 0.0000 0.0000 0.0000 [4 per cell]
Gd 0.0000 0.0000 0.5000 [4 per cell]
Ir 0.2500 0.2500 0.7500 [4 per cell]
Pb 0.2500 0.2500 0.2500 [4 per cell]

total energy	-8.268	eV per atom